[1]
The following is a PBE calculation of an optimized crystal structure of NdDy12Al3, from Alexandria via LeMat-Bulk.

Summary:
- DFT formation energy (eV/atom) = -0.1228
- symmetry = P4/mmm (123)

abc: 4.7982 4.7982 19.6246
angles: 90.00 90.00 90.00
Fractional positions:
Nd 0.0000 0.0000 0.0000
Dy 0.5000 0.5000 0.0000
Dy 0.5000 0.5000 0.2590
Dy 0.5000 0.5000 0.5000
Dy 0.5000 0.5000 0.7410
Dy 0.5000 0.0000 0.1367
Dy 0.5000 0.0000 0.3790
Dy 0.5000 0.0000 0.6210
Dy 0.5000 0.0000 0.8633
Dy 0.0000 0.5000 0.1367
Dy 0.0000 0.5000 0.3790
Dy 0.0000 0.5000 0.6210
Dy 0.0000 0.5000 0.8633
Al 0.0000 0.0000 0.2591
Al 0.0000 0.0000 0.5000
Al 0.0000 0.0000 0.7409


[2]
The following is a PBE calculation of an optimized crystal structure of Sb2AsPt, from Alexandria via LeMat-Bulk.

Summary:
- symmetry = Pmmm (47)
- energy relative to the elements, uncorrected (eV per atom) = 0.0844

abc: 3.1240 3.6195 7.7011
angles: 90.00 90.00 90.00
Fractional positions:
Sb 0.0000 0.0000 0.9726
Sb 0.0000 0.0000 0.5274
As 0.5000 0.5000 0.2500
Pt 0.5000 0.5000 0.7500


[3]
The following is a PBE calculation of an optimized crystal structure of BaCd2Si2, from Alexandria via LeMat-Bulk.

Summary:
- symmetry = P4/mbm (127)
- energy relative to the elements, uncorrected (eV per atom) = 0.1779

abc: 8.4839 8.4839 3.3329
angles: 90.00 90.00 90.00
Fractional positions:
Si 0.3586 0.8586 0.0000
Si 0.8586 0.6414 0.0000
Si 0.6414 0.1414 0.0000
Si 0.1414 0.3586 0.0000
Ba 0.0000 0.0000 0.0000
Ba 0.5000 0.5000 0.0000
Cd 0.1431 0.6431 0.5000
Cd 0.6431 0.8569 0.5000
Cd 0.8569 0.3569 0.5000
Cd 0.3569 0.1431 0.5000


| no. | M_tot (μB/f.u.) | energy (eV/atom) |
| --- | --- | --- |
| 1 | 0.00 | -4.57 |
| 2 | 0.00 | -4.65 |
| 3 | 0.00 | -2.74 |